1.
The following is a PBE calculation of a geometry-optimized Na2Ge3PdPt4 structure, from Alexandria via LeMat-Bulk.

Output
The energy of formation comes out at -0.4228 eV/atom.

a = 4.068 Å, b = 4.068 Å, c = 11.200 Å
α = 90.00°, β = 90.00°, γ = 90.00°
Space group P-4m2 (No. 115)
Inequivalent atoms, fractional coordinates:
Na  0.000  0.500  0.242 x2
Ge  0.000  0.000  0.000 x1
Ge  0.000  0.500  0.636 x2
Pd  0.500  0.500  0.000 x1
Pt  0.000  0.000  0.500 x1
Pt  0.000  0.500  0.849 x2
Pt  0.500  0.500  0.500 x1

2.
The following is a PBE calculation of a geometry-optimized Tb2Sm2Sc3 structure, from Alexandria via LeMat-Bulk.

Output
The energy of formation comes out at 0.2252 eV/atom.

a = 9.376 Å, b = 9.376 Å, c = 9.376 Å
α = 90.00°, β = 90.00°, γ = 90.00°
Space group I2_13 (No. 199)
Inequivalent atoms, fractional coordinates:
Tb  0.215  0.215  0.215 x8
Sm  0.086  0.414  0.586 x8
Sc  0.000  0.250  0.958 x12

3.
The following is a PBE calculation of a geometry-optimized Al2TeP structure, from Alexandria via LeMat-Bulk.

Output
The formation energy without anion corrections comes out at 297 meV per atom.

a = 4.760 Å, b = 4.760 Å, c = 3.430 Å
α = 90.00°, β = 90.00°, γ = 90.00°
Space group P4/mmm (No. 123)
Inequivalent atoms, fractional coordinates:
Al  0.000  0.500  0.000 x2
Te  0.000  0.000  0.500 x1
P  0.500  0.500  0.500 x1

DFT total energy
In order: -50.1; -36.1; -14.8
Unit: eV/f.u.